[1]
An optimized crystal structure of Pd2RhAu2. Source: the Alexandria database, functional PBE.

Values from the calculation:
polymorph energy (0 for the lowest one) = 0.006 eV/atom

Cell: 7.6556 7.6556 2.9655 Å, 90.00 90.00 90.00°
Element x y z (fractional)
Pd (0.1633, 0.3367, 0.0000)
Pd (0.3367, 0.8367, 0.0000)
Pd (0.6633, 0.1633, 0.0000)
Pd (0.8367, 0.6633, 0.0000)
Rh (0.0000, 0.0000, 0.5000)
Rh (0.5000, 0.5000, 0.5000)
Au (0.1354, 0.6354, 0.5000)
Au (0.3646, 0.1354, 0.5000)
Au (0.6354, 0.8646, 0.5000)
Au (0.8646, 0.3646, 0.5000)


[2]
An optimized crystal structure of Pd3RhAu. Source: the Alexandria database, functional PBE.

Values from the calculation:
polymorph energy (0 for the lowest one) = 0.000 eV/atom

Cell: 6.8670 5.6265 9.3054 Å, 90.00 119.18 90.00°
Element x y z (fractional)
Pd (0.0022, 0.1271, 0.2484)
Pd (0.0022, 0.3729, 0.7484)
Pd (0.1936, 0.6231, 0.0474)
Pd (0.1936, 0.8769, 0.5474)
Pd (0.3987, 0.1250, 0.8511)
Pd (0.3987, 0.3750, 0.3511)
Pd (0.6013, 0.6250, 0.6489)
Pd (0.6013, 0.8750, 0.1489)
Pd (0.8064, 0.1231, 0.4526)
Pd (0.8064, 0.3769, 0.9526)
Pd (0.9978, 0.6271, 0.2516)
Pd (0.9978, 0.8729, 0.7516)
Rh (0.1878, 0.1206, 0.0430)
Rh (0.1878, 0.3794, 0.5430)
Rh (0.8122, 0.6206, 0.4570)
Rh (0.8122, 0.8794, 0.9570)
Au (0.4024, 0.6272, 0.8472)
Au (0.4024, 0.8728, 0.3472)
Au (0.5976, 0.1272, 0.6528)
Au (0.5976, 0.3728, 0.1528)


[3]
An optimized crystal structure of Pd6RhAu. Source: the Alexandria database, functional PBE.

Cell: 3.9654 3.9654 7.9246 Å, 90.00 90.00 90.00°
Element x y z (fractional)
Pd (0.0000, 0.0000, 0.0000)
Pd (0.0000, 0.0000, 0.5000)
Pd (0.0000, 0.5000, 0.2432)
Pd (0.0000, 0.5000, 0.7568)
Pd (0.5000, 0.0000, 0.2432)
Pd (0.5000, 0.0000, 0.7568)
Rh (0.5000, 0.5000, 0.0000)
Au (0.5000, 0.5000, 0.5000)


[4]
An optimized crystal structure of PdRhAu2. Source: the Alexandria database, functional PBE.

Values from the calculation:
polymorph energy (0 for the lowest one) = 0.171 eV/atom

Cell: 10.4076 10.4076 10.4076 Å, 15.37 15.37 15.37°
Element x y z (fractional)
Pd (0.0000, 0.0000, 0.0000)
Rh (0.5000, 0.5000, 0.5000)
Au (0.4116, 0.4116, 0.4116)
Au (0.5884, 0.5884, 0.5884)


[5]
An optimized crystal structure of Pd2RhAu. Source: the Alexandria database, functional PBE.

Cell: 3.9841 3.9841 3.9525 Å, 90.00 90.00 90.00°
Element x y z (fractional)
Pd (0.0000, 0.5000, 0.0000)
Pd (0.5000, 0.0000, 0.0000)
Rh (0.0000, 0.0000, 0.5000)
Au (0.5000, 0.5000, 0.5000)


[6]
An optimized crystal structure of Pd6RhAu2. Source: the Alexandria database, functional PBE.

Cell: 6.5347 5.3726 9.0425 Å, 90.00 107.89 90.00°
Element x y z (fractional)
Pd (0.0390, 0.1422, 0.2295)
Pd (0.0390, 0.3578, 0.7295)
Pd (0.2472, 0.1107, 0.0091)
Pd (0.2472, 0.3893, 0.5091)
Pd (0.3431, 0.6496, 0.9381)
Pd (0.3431, 0.8504, 0.4381)
Pd (0.6569, 0.1496, 0.5619)
Pd (0.6569, 0.3504, 0.0619)
Pd (0.7528, 0.6107, 0.4909)
Pd (0.7528, 0.8893, 0.9909)
Pd (0.9610, 0.6422, 0.2705)
Pd (0.9610, 0.8578, 0.7705)
Rh (0.0000, 0.0000, 0.5000)
Rh (0.0000, 0.5000, 0.0000)
Au (0.3953, 0.0394, 0.7500)
Au (0.3953, 0.4606, 0.2500)
Au (0.6047, 0.5394, 0.7500)
Au (0.6047, 0.9606, 0.2500)


[7]
An optimized crystal structure of Pd4RhAu. Source: the Alexandria database, functional PBE.

Cell: 5.6135 5.6135 6.8485 Å, 90.10 90.10 60.02°
Element x y z (fractional)
Pd (0.0807, 0.5850, 0.6664)
Pd (0.2437, 0.7563, 0.0000)
Pd (0.2478, 0.2478, 0.9899)
Pd (0.4150, 0.9193, 0.3336)
Pd (0.5850, 0.0807, 0.6664)
Pd (0.7522, 0.7522, 0.0101)
Pd (0.7563, 0.2437, 0.0000)
Pd (0.9193, 0.4150, 0.3336)
Rh (0.0803, 0.0803, 0.6594)
Rh (0.9197, 0.9197, 0.3406)
Au (0.4161, 0.4161, 0.3276)
Au (0.5839, 0.5839, 0.6724)


[8]
An optimized crystal structure of Pd14RhAu. Source: the Alexandria database, functional PBE.

Cell: 9.2010 5.5766 5.5766 Å, 60.06 90.00 90.00°
Element x y z (fractional)
Pd (0.0000, 0.9998, 0.9998)
Pd (0.0000, 0.5000, 0.5000)
Pd (0.0000, 0.5001, 0.9995)
Pd (0.0000, 0.9995, 0.5001)
Pd (0.2474, 0.1662, 0.1662)
Pd (0.2501, 0.1646, 0.6687)
Pd (0.2501, 0.6687, 0.1646)
Pd (0.2516, 0.6675, 0.6675)
Pd (0.5000, 0.3332, 0.8340)
Pd (0.5000, 0.8340, 0.3332)
Pd (0.7484, 0.6675, 0.6675)
Pd (0.7499, 0.1646, 0.6687)
Pd (0.7499, 0.6687, 0.1646)
Pd (0.7526, 0.1662, 0.1662)
Rh (0.5000, 0.8332, 0.8332)
Au (0.5000, 0.3332, 0.3332)


[9]
An optimized crystal structure of Pd2Rh2Au. Source: the Alexandria database, functional PBE.

Values from the calculation:
polymorph energy (0 for the lowest one) = 0.000 eV/atom

Cell: 7.6123 7.6123 2.7994 Å, 90.00 90.00 90.00°
Element x y z (fractional)
Pd (0.1782, 0.3218, 0.0000)
Pd (0.3218, 0.8218, 0.0000)
Pd (0.6782, 0.1782, 0.0000)
Pd (0.8218, 0.6782, 0.0000)
Rh (0.1192, 0.6192, 0.5000)
Rh (0.3808, 0.1192, 0.5000)
Rh (0.6192, 0.8808, 0.5000)
Rh (0.8808, 0.3808, 0.5000)
Au (0.0000, 0.0000, 0.5000)
Au (0.5000, 0.5000, 0.5000)


[10]
An optimized crystal structure of PdRh2Au. Source: the Alexandria database, functional PBE.

Values from the calculation:
polymorph energy (0 for the lowest one) = 0.429 eV/atom

Cell: 5.7017 5.7017 5.7017 Å, 102.78 102.78 123.88°
Element x y z (fractional)
Pd (0.0000, 0.0000, 0.0000)
Pd (0.7500, 0.2500, 0.5000)
Rh (0.1142, 0.6250, 0.9892)
Rh (0.3750, 0.3642, 0.4892)
Rh (0.6358, 0.1250, 0.0108)
Rh (0.8750, 0.8858, 0.5108)
Au (0.2500, 0.7500, 0.5000)
Au (0.5000, 0.5000, 0.0000)


[11]
An optimized crystal structure of PdRh2Au. Source: the Alexandria database, functional PBE.

Values from the calculation:
polymorph energy (0 for the lowest one) = 0.000 eV/atom

Cell: 3.9392 3.9392 3.9654 Å, 90.00 90.00 90.00°
Element x y z (fractional)
Pd (0.0000, 0.0000, 0.0000)
Rh (0.0000, 0.5000, 0.5000)
Rh (0.5000, 0.0000, 0.5000)
Au (0.5000, 0.5000, 0.0000)


[12]
An optimized crystal structure of Pd5RhAu6. Source: the Alexandria database, functional PBE.

Cell: 7.5904 7.5904 7.5904 Å, 149.22 115.71 72.96°
Element x y z (fractional)
Pd (0.0000, 0.0000, 0.0000)
Pd (0.1675, 0.6675, 0.5000)
Pd (0.3361, 0.3361, 0.0000)
Pd (0.6639, 0.6639, 0.0000)
Pd (0.8325, 0.3325, 0.5000)
Rh (0.5000, 0.0000, 0.5000)
Au (0.0835, 0.8335, 0.2500)
Au (0.2495, 0.5000, 0.7495)
Au (0.4164, 0.1665, 0.2500)
Au (0.5836, 0.8335, 0.7500)
Au (0.7505, 0.5000, 0.2505)
Au (0.9165, 0.1665, 0.7500)


Number 1: final energy -4.512 eV/atom. Number 2: final energy -5.190 eV/atom. Number 3: final energy -5.207 eV/atom. Number 4: final energy -4.509 eV/atom. Number 5: final energy -5.171 eV/atom. Number 6: final energy -4.824 eV/atom. Number 7: final energy -5.193 eV/atom. Number 8: final energy -5.175 eV/atom. Number 9: final energy -5.393 eV/atom. Number 10: final energy -5.213 eV/atom. Number 11: final energy -5.642 eV/atom. Number 12: final energy -4.418 eV/atom.